First-principles (PBE) data for crystalline Nb4AgSnC2 at its relaxed geometry, as listed in the Open Quantum Materials Database.

Calculated values
Total moment ... 0.00 Bohr magnetons per cell
E ... -8.51 eV per atom

Lattice parameters (Å, degrees): 3.217 3.217 14.112 90.00 90.00 120.00
Sites, in units of the cell vectors:
Nb (0.000, 0.000, 0.332)
Nb (0.667, 0.333, 0.833)
Nb (0.000, 0.000, 0.668)
Nb (0.667, 0.333, 0.167)
C (0.333, 0.667, 0.247)
C (0.333, 0.667, 0.753)
Sn (0.667, 0.333, 0.500)
Ag (0.000, 0.000, 0.000)

***

First-principles (PBE) data for crystalline MgZn2Sn2 at its relaxed geometry, as listed in the Open Quantum Materials Database.

Calculated values
Offset from the most stable computed form ... 0.000 eV/atom
E ... -2.32 eV per atom

Lattice parameters (Å, degrees): 6.756 6.756 6.756 141.74 141.74 55.22
Sites, in units of the cell vectors:
Zn (0.599, 0.599, 0.000)
Zn (0.401, 0.401, 0.000)
Sn (0.750, 0.250, 0.500)
Sn (0.250, 0.750, 0.500)
Mg (0.000, 0.000, 0.000)

***

First-principles (PBE) data for crystalline Gd3CuSnSe7 at its relaxed geometry, as listed in the Open Quantum Materials Database.

Calculated values
Total moment ... 0.01 Bohr magnetons per cell
E ... -5.13 eV per atom

Lattice parameters (Å, degrees): 10.334 10.334 6.460 90.00 90.00 120.00
Sites, in units of the cell vectors:
Gd (0.643, 0.852, 0.914)
Gd (0.852, 0.209, 0.414)
Gd (0.209, 0.357, 0.914)
Gd (0.148, 0.791, 0.914)
Gd (0.357, 0.148, 0.414)
Gd (0.791, 0.643, 0.414)
Se (0.850, 0.737, 0.979)
Se (0.667, 0.333, 0.236)
Se (0.263, 0.113, 0.979)
Se (0.438, 0.921, 0.161)
Se (0.562, 0.079, 0.661)
Se (0.517, 0.438, 0.661)
Se (0.080, 0.517, 0.161)
Se (0.483, 0.562, 0.161)
Se (0.920, 0.483, 0.661)
Se (0.887, 0.150, 0.979)
Se (0.333, 0.667, 0.736)
Se (0.150, 0.263, 0.479)
Se (0.113, 0.850, 0.479)
Se (0.737, 0.887, 0.479)
Cu (0.000, 0.000, 0.001)
Cu (0.000, 0.000, 0.501)
Sn (0.333, 0.667, 0.342)
Sn (0.667, 0.333, 0.842)

***

First-principles (PBE) data for crystalline Tb2YSn5Pb2 at its relaxed geometry, as listed in the Open Quantum Materials Database.

Calculated values
Offset from the most stable computed form ... 0.013 eV/atom
Total moment ... 0.00 Bohr magnetons per cell
E ... -4.79 eV per atom

Lattice parameters (Å, degrees): 13.513 13.513 4.464 90.00 90.00 161.00
Sites, in units of the cell vectors:
Y (0.000, 0.000, 0.000)
Sn (0.096, 0.904, 0.500)
Sn (0.904, 0.096, 0.500)
Sn (0.404, 0.596, 0.000)
Sn (0.596, 0.404, 0.000)
Sn (0.500, 0.500, 0.500)
Tb (0.313, 0.687, 0.500)
Tb (0.687, 0.313, 0.500)
Pb (0.792, 0.208, 0.000)
Pb (0.208, 0.792, 0.000)

***

First-principles (PBE) data for crystalline ErSiNi at its relaxed geometry, as listed in the Open Quantum Materials Database.

Calculated values
Total moment ... 0.00 Bohr magnetons per cell
E ... -6.02 eV per atom

Lattice parameters (Å, degrees): 6.788 4.130 7.116 90.00 90.00 90.00
Sites, in units of the cell vectors:
Er (0.509, 0.250, 0.701)
Er (0.491, 0.750, 0.299)
Er (0.991, 0.750, 0.201)
Er (0.009, 0.250, 0.799)
Ni (0.811, 0.250, 0.417)
Ni (0.689, 0.750, 0.917)
Ni (0.189, 0.750, 0.583)
Ni (0.311, 0.250, 0.083)
Si (0.692, 0.250, 0.087)
Si (0.308, 0.750, 0.913)
Si (0.808, 0.750, 0.587)
Si (0.192, 0.250, 0.413)

***

First-principles (PBE) data for crystalline La2Nd2CBr2Cl3 at its relaxed geometry, as listed in the Open Quantum Materials Database.

Calculated values
Offset from the most stable computed form ... 0.005 eV/atom
Total moment ... 0.31 Bohr magnetons per cell
E ... -5.36 eV per atom

Lattice parameters (Å, degrees): 9.215 9.215 8.294 102.89 102.89 24.86
Each line ends with the local moment (μB).
Sites, in units of the cell vectors:
C (0.500, 0.500, 0.000)  0.00
Nd (0.644, 0.644, 0.082)  0.06
Nd (0.356, 0.356, 0.918)  0.06
Cl (0.500, 0.500, 0.500)  0.00
Cl (0.827, 0.827, 0.148)  0.00
Cl (0.173, 0.173, 0.852)  0.00
Br (0.832, 0.832, 0.647)  0.00
Br (0.168, 0.168, 0.353)  0.00
La (0.004, 0.004, 0.785)  0.01
La (0.996, 0.996, 0.215)  0.01